Record 1
CaPm2Pa: optimized geometry, PBE.

Cell lengths 3.4835, 3.4835, 10.7986 Å; angles 90.00, 90.00, 90.00 degrees
Atoms (fractional coordinates):
Ca 0.0000 0.0000 0.0000
Pm 0.5000 0.5000 0.2802
Pm 0.5000 0.5000 0.7198
Pa 0.0000 0.0000 0.5000

Values from the calculation:
- Total moment: 0.00 μB/atom
- Space-group type: P4/mmm
- Calculated formation energy: 0.158 eV per atom
- Polymorph energy (0 for the lowest one): 0.0 meV per atom

Record 2
SrNb2Sn2: optimized geometry, PBE.

Cell lengths 5.8595, 5.8595, 5.8595 Å; angles 124.84, 124.84, 81.80 degrees
Atoms (fractional coordinates):
Sr 0.0000 0.0000 0.0000
Nb 0.3622 0.3622 0.0000
Nb 0.6378 0.6378 0.0000
Sn 0.2500 0.7500 0.5000
Sn 0.7500 0.2500 0.5000

Values from the calculation:
- Total moment: 0.00 μB/atom
- Space-group type: I4/mmm
- Calculated formation energy: 0.101 eV per atom
- Polymorph energy (0 for the lowest one): 121.4 meV per atom

Record 3
YSi: optimized geometry, PBE.

Cell lengths 5.5715, 5.8011, 10.7024 Å; angles 90.00, 90.00, 90.00 degrees
Atoms (fractional coordinates):
Y 0.1195 0.0810 0.0225
Y 0.1510 0.6466 0.8158
Y 0.3490 0.3534 0.3158
Y 0.3805 0.9190 0.5225
Y 0.6195 0.4190 0.9775
Y 0.6510 0.8534 0.1842
Y 0.8490 0.1466 0.6842
Y 0.8805 0.5810 0.4775
Si 0.1418 0.5734 0.0904
Si 0.1613 0.8503 0.2769
Si 0.3387 0.1497 0.7769
Si 0.3582 0.4266 0.5904
Si 0.6418 0.9266 0.9096
Si 0.6613 0.6497 0.7231
Si 0.8387 0.3503 0.2231
Si 0.8582 0.0734 0.4096

Values from the calculation:
- Total moment: 0.00 μB/atom
- Space-group type: P2_12_12_1

Record 4
ZnSiNi2: optimized geometry, PBE.

Cell lengths 3.1323, 3.1323, 4.9820 Å; angles 90.00, 90.00, 90.00 degrees
Atoms (fractional coordinates):
Zn 0.0000 0.0000 0.0000
Si 0.5000 0.5000 0.6912
Ni 0.0000 0.0000 0.5005
Ni 0.5000 0.5000 0.2119

Values from the calculation:
- Total moment: 0.00 μB/atom
- Space-group type: P4mm

Record 5
LiCa2Sb2: optimized geometry, PBE.

Cell lengths 8.0765, 8.0765, 8.0765 Å; angles 131.16, 70.24, 132.84 degrees
Atoms (fractional coordinates):
Li 0.2500 0.2500 0.0000
Li 0.7500 0.7500 0.0000
Ca 0.1408 0.7124 0.8532
Ca 0.3592 0.2124 0.5716
Ca 0.6408 0.7876 0.4284
Ca 0.8592 0.2876 0.1468
Sb 0.1163 0.2351 0.3514
Sb 0.3837 0.7351 0.1188
Sb 0.6163 0.2649 0.8812
Sb 0.8837 0.7649 0.6486

Values from the calculation:
- Total moment: 0.00 μB/atom
- Space-group type: Ibam
- Polymorph energy (0 for the lowest one): 0.0 meV per atom

Record 6
HoPdPt3: optimized geometry, PBE.

Cell lengths 6.0562, 6.0562, 5.5184 Å; angles 90.00, 90.00, 107.37 degrees
Atoms (fractional coordinates):
Ho 0.2318 0.7682 0.7500
Ho 0.7682 0.2318 0.2500
Pd 0.5000 0.5000 0.0000
Pd 0.5000 0.5000 0.5000
Pt 0.1634 0.2069 0.7500
Pt 0.2069 0.1634 0.2500
Pt 0.2624 0.7376 0.2500
Pt 0.7376 0.2624 0.7500
Pt 0.7931 0.8366 0.7500
Pt 0.8366 0.7931 0.2500

Values from the calculation:
- Total moment: 0.00 μB/atom
- Space-group type: Cmcm
- Calculated formation energy: -0.522 eV per atom
- Polymorph energy (0 for the lowest one): 47.4 meV per atom

Record 7
SmZn9Au2: optimized geometry, PBE.

Cell lengths 8.3724, 8.3724, 8.3724 Å; angles 99.88, 99.88, 131.07 degrees
Atoms (fractional coordinates):
Sm 0.3750 0.6250 0.7500
Sm 0.6250 0.3750 0.2500
Zn 0.1250 0.8750 0.2500
Zn 0.1296 0.5510 0.3368
Zn 0.1296 0.7927 0.5786
Zn 0.2073 0.2858 0.3368
Zn 0.2073 0.8704 0.9214
Zn 0.2858 0.2073 0.8368
Zn 0.2858 0.4490 0.0786
Zn 0.4490 0.2858 0.5786
Zn 0.4490 0.8704 0.1632
Zn 0.5510 0.1296 0.8368
Zn 0.5510 0.7142 0.4214
Zn 0.7142 0.5510 0.9214
Zn 0.7142 0.7927 0.1632
Zn 0.7927 0.1296 0.0786
Zn 0.7927 0.7142 0.6632
Zn 0.8704 0.2073 0.4214
Zn 0.8704 0.4490 0.6632
Zn 0.8750 0.1250 0.7500
Au 0.0000 0.0000 0.0000
Au 0.0000 0.0000 0.5000
Au 0.0000 0.5000 0.0000
Au 0.5000 0.0000 0.5000

Values from the calculation:
- Total moment: 0.00 μB/atom
- Space-group type: I4_1/amd
- Calculated formation energy: -0.290 eV per atom
- Polymorph energy (0 for the lowest one): 0.0 meV per atom

Record 8
K5RbHg4: optimized geometry, PBE.

Cell lengths 10.7432, 10.7432, 9.4015 Å; angles 100.84, 100.84, 27.96 degrees
Atoms (fractional coordinates):
K 0.0000 0.0000 0.0000
K 0.3185 0.3185 0.9002
K 0.3211 0.3211 0.4187
K 0.6789 0.6789 0.5813
K 0.6815 0.6815 0.0998
Rb 0.0000 0.0000 0.5000
Hg 0.1393 0.1393 0.8186
Hg 0.4476 0.4476 0.2121
Hg 0.5524 0.5524 0.7879
Hg 0.8607 0.8607 0.1814

Values from the calculation:
- Total moment: 0.00 μB/atom
- Space-group type: C2/m
- Calculated formation energy: -0.178 eV per atom

| no. | final energy (eV/atom) |
| --- | --- |
| 1 | -5.09 |
| 2 | -5.86 |
| 3 | -6.59 |
| 4 | -4.76 |
| 5 | -3.64 |
| 6 | -6.10 |
| 7 | -2.18 |
| 8 | -0.94 |